# 1
DFT (PBE-GGA) results for CsPIrAu after structural relaxation.

Properties
Symmetry: P4/nmm (129)
Energy relative to the elements, eV/atom: -0.476
Total DFT energy (no corrections), eV/atom: -5.0765

Unit cell a=3.9666 b=3.9666 c=13.3132 alpha=90.00 beta=90.00 gamma=90.00
Fractional positions:
Cs (0.2500, 0.2500, 0.2299)
Cs (0.7500, 0.7500, 0.7701)
P (0.2500, 0.2500, 0.5965)
P (0.7500, 0.7500, 0.4035)
Ir (0.2500, 0.7500, 0.5000)
Ir (0.7500, 0.2500, 0.5000)
Au (0.2500, 0.7500, 0.0000)
Au (0.7500, 0.2500, 0.0000)

# 2
DFT (PBE-GGA) results for CsTaIr2Au after structural relaxation.

Properties
Symmetry: P4/mmm (123)
Energy relative to the elements, eV/atom: 1.435
Total DFT energy (no corrections), eV/atom: -5.3063

Unit cell a=4.7832 b=4.7832 c=7.3517 alpha=90.00 beta=90.00 gamma=90.00
Fractional positions:
Cs (0.0000, 0.0000, 0.0000)
Ta (0.0000, 0.0000, 0.5000)
Ir (0.0000, 0.5000, 0.5000)
Ir (0.5000, 0.0000, 0.5000)
Au (0.5000, 0.5000, 0.0000)